No. 1
Compound: TlTe2Au
Source: Alexandria
Functional: PBE-GGA
Structure: relaxed

a = 6.1648 Å, b = 6.1640 Å, c = 12.1080 Å
α = 90.00°, β = 90.00°, γ = 90.00°
With the nearest neighbours (Å) after each atom.
Atoms (fractional coordinates):
Au 0.2490 0.0001 0.8750  6 Te 2.77-3.10
Au 0.2490 0.4999 0.6250  6 Te 2.77-3.10
Au 0.7510 0.5001 0.3750  6 Te 2.77-3.10
Au 0.7510 0.9999 0.1250  6 Te 2.77-3.10
Te 0.2505 0.9997 0.1035  3 Au 2.77-3.10, 2 Tl 3.09
Te 0.7514 0.0000 0.3536  3 Au 2.77-3.09, 2 Tl 3.09
Te 0.2486 0.0000 0.6464  3 Au 2.77-3.09, 2 Tl 3.09
Te 0.7495 0.0003 0.8965  3 Au 2.77-3.10, 2 Tl 3.09
Te 0.2505 0.5003 0.3964  3 Au 2.77-3.10, 2 Tl 3.09
Te 0.2486 0.5000 0.8536  3 Au 2.77-3.09, 2 Tl 3.09
Te 0.7495 0.4997 0.6036  3 Au 2.77-3.10, 2 Tl 3.09
Te 0.7514 0.5000 0.1464  3 Au 2.77-3.09, 2 Tl 3.09
Tl 0.2516 0.0003 0.3750  6 Te 3.09-3.29
Tl 0.2516 0.4997 0.1250  6 Te 3.09-3.29
Tl 0.7484 0.5003 0.8750  6 Te 3.09-3.29
Tl 0.7484 0.9997 0.6250  6 Te 3.09-3.29

Formation energy without anion corrections, eV/atom: -0.063
Volume, A^3/atom: 28.76

=====

No. 2
Compound: K4CaCl
Source: Alexandria
Functional: PBE-GGA
Structure: relaxed

a = 7.9711 Å, b = 7.9711 Å, c = 7.9711 Å
α = 60.00°, β = 60.00°, γ = 60.00°
With the nearest neighbours (Å) after each atom.
Atoms (fractional coordinates):
K 0.3746 0.3746 0.8763  6 K 3.97-4.00
K 0.3746 0.8763 0.3746  6 K 3.97-4.00
K 0.8763 0.3746 0.3746  6 K 3.97-4.00
K 0.3746 0.3746 0.3746  6 K 3.97-4.00
Cl 0.0000 0.0000 0.0000  12 K 4.67, 4 Ca 4.88
Ca 0.7500 0.7500 0.7500  12 K 4.67, 4 Cl 4.88

Formation energy without anion corrections, eV/atom: -0.096
Volume, A^3/atom: 59.69

=====

no.,size of the total moment (μB/f.u.)
1,0.0
2,0.0